(1)
VASP calculation (PBE-GGA) on a relaxed structure of BiB3Pd.

Calculated values
E_form ... 1388 meV/atom
ΔE to the lowest computed polymorph ... 0 meV/atom

```
data_BiB3Pd
_chemical_formula_sum 'Bi1 B3 Pd1'
_cell_length_a 4.2325
_cell_length_b 4.2325
_cell_length_c 4.2325
_cell_angle_alpha 90.00
_cell_angle_beta 90.00
_cell_angle_gamma 90.00
_space_group_name_H-M_alt 'P m -3 m'
_space_group_IT_number 221
_space_group_name_Hall '-P 4 2 3'
loop_
_atom_site_label
_atom_site_type_symbol
_atom_site_fract_x
_atom_site_fract_y
_atom_site_fract_z
Bi1 Bi 0.0000 0.0000 0.0000
B1 B 0.0000 0.5000 0.5000
Pd1 Pd 0.5000 0.5000 0.5000
```

(2)
VASP calculation (PBE-GGA) on a relaxed structure of MgZr2Re.

Calculated values
E_form ... 28 meV/atom

```
data_MgZr2Re
_chemical_formula_sum 'Mg1 Zr2 Re1'
_cell_length_a 3.0165
_cell_length_b 4.3655
_cell_length_c 6.1990
_cell_angle_alpha 90.00
_cell_angle_beta 100.99
_cell_angle_gamma 90.00
_space_group_name_H-M_alt 'P 1 2/m 1'
_space_group_IT_number 10
loop_
_space_group_symop_operation_xyz
'x,y,z'
'-x,-y,-z'
'-x,y,-z'
'x,-y,z'
loop_
_atom_site_label
_atom_site_type_symbol
_atom_site_fract_x
_atom_site_fract_y
_atom_site_fract_z
Mg1 Mg 0.0000 0.0000 0.0000
Zr1 Zr 0.3918 0.5000 0.7263
Re1 Re 0.0000 0.0000 0.5000
```

(3)
VASP calculation (PBE-GGA) on a relaxed structure of MoAsRhBr2.

Calculated values
ΔE to the lowest computed polymorph ... 0 meV/atom
Formation energy (no corrections) ... 847 meV per atom

```
data_MoAsRhBr2
_chemical_formula_sum 'Mo1 As1 Rh1 Br2'
_cell_length_a 5.2507
_cell_length_b 5.2507
_cell_length_c 4.6459
_cell_angle_alpha 90.00
_cell_angle_beta 90.00
_cell_angle_gamma 90.00
_space_group_name_H-M_alt 'P 4/m m m'
_space_group_IT_number 123
_space_group_name_Hall '-P 4 2'
loop_
_atom_site_label
_atom_site_type_symbol
_atom_site_fract_x
_atom_site_fract_y
_atom_site_fract_z
Mo1 Mo 0.0000 0.0000 0.0000
As1 As 0.5000 0.5000 0.0000
Rh1 Rh 0.5000 0.5000 0.5000
Br1 Br 0.0000 0.5000 0.5000
```

| no. | electronic total energy (eV/atom) |
| --- | --- |
| 1 | -4.433 |
| 2 | -7.757 |
| 3 | -4.388 |